CoW3O: relaxed, PBE with a Hubbard U.

Magnetic moment = 0.326 μB/atom
D(E_F) = 0.9180 states/eV/atom
Offset from the most stable computed form = 0.0 kJ/mol of atoms

a = 4.1644 Å, b = 4.1644 Å, c = 4.1644 Å
α = 90.00°, β = 90.00°, γ = 90.00°
Space group Pm-3m (No. 221)
Symmetry-distinct sites (fractional):
1 Co 0.0000 0.0000 0.0000 x1
2 W 0.0000 0.5000 0.5000 x3
3 O 0.5000 0.5000 0.5000 x1